# 1
# Li2B5H5 PBE-GGA optimized geometry
# Size of the total moment in μB/cell: 0.0
# Density of states at the Fermi level in states/eV/cell: 0.0
# Calculated total energy in eV per cell: -162.10
data_Li2B5H5
_symmetry_space_group_name_H-M 'R 3 m'
_symmetry_Int_Tables_number 160
_symmetry_space_group_name_Hall 'R 3 -2"'
_cell_length_a 5.5280
_cell_length_b 5.5280
_cell_length_c 16.6661
_cell_angle_alpha 90.00
_cell_angle_beta 90.00
_cell_angle_gamma 120.00
loop_
_atom_site_label
_atom_site_fract_x
_atom_site_fract_y
_atom_site_fract_z
_atom_site_occupancy
Li1 0.0000 0.0000 0.0000 1
Li2 0.0000 0.0000 0.4734 1
B1 0.0000 0.0000 0.6645 1
B2 0.0000 0.0000 0.8226 1
B3 0.1066 0.2133 0.7438 1
H1 0.0000 0.0000 0.5926 1
H2 0.0000 0.0000 0.8934 1
H3 0.2125 0.1063 0.0942 1

***

# 2
# TaTiReRh PBE-GGA optimized geometry
# Formation energy from the elements in meV per atom: -545
# Size of the total moment in μB/cell: 0.0
# Density of states at the Fermi level in states/eV/cell: 2.5
# Calculated total energy in eV per cell: -41.73
# Relative energy among the computed polymorphs in meV/atom: 0
data_TaTiReRh
_symmetry_space_group_name_H-M 'P 4 m m'
_symmetry_Int_Tables_number 99
_cell_length_a 3.178
_cell_length_b 3.178
_cell_length_c 6.229
_cell_angle_alpha 90.00
_cell_angle_beta 90.00
_cell_angle_gamma 90.00
loop_
_symmetry_equiv_pos_as_xyz
'x,y,z'
'-y,x,z'
'-x,-y,z'
'y,-x,z'
'-x,y,z'
'y,x,z'
'x,-y,z'
'-y,-x,z'
loop_
_atom_site_label
_atom_site_fract_x
_atom_site_fract_y
_atom_site_fract_z
_atom_site_occupancy
Ta1 0.000 0.000 0.000 1
Ti1 0.000 0.000 0.491 1
Re1 0.500 0.500 0.249 1
Rh1 0.500 0.500 0.740 1

***

# 3
# ZrCrBr2 PBE-GGA optimized geometry
# ΔE_f (raw) in eV per atom: 0.058
# Size of the total moment in μB/cell: 3.2
# Density of states at the Fermi level in states/eV/cell: 3.2
# Calculated total energy in eV per cell: -21.29
# Relative energy among the computed polymorphs in meV/atom: 452
data_ZrCrBr2
_symmetry_space_group_name_H-M 'P 1 2/m 1'
_symmetry_Int_Tables_number 10
_cell_length_a 3.458
_cell_length_b 4.563
_cell_length_c 5.821
_cell_angle_alpha 90.00
_cell_angle_beta 93.89
_cell_angle_gamma 90.00
loop_
_symmetry_equiv_pos_as_xyz
'x,y,z'
'-x,-y,-z'
'-x,y,-z'
'x,-y,z'
loop_
_atom_site_label
_atom_site_fract_x
_atom_site_fract_y
_atom_site_fract_z
_atom_site_occupancy
Zr1 0.000 0.000 0.000 1
Cr1 0.500 0.000 0.500 1
Br1 0.225 0.500 0.250 1

***

# 4
# Re2TcOs2 PBE-GGA optimized geometry
# Formation energy from the elements in meV per atom: 59
# Size of the total moment in μB/cell: 0.0
# Density of states at the Fermi level in states/eV/cell: 21.3
# Calculated total energy in eV per cell: -229.70
# Relative energy among the computed polymorphs in meV/atom: 0
data_Re2TcOs2
_symmetry_space_group_name_H-M 'C 1 2/m 1'
_symmetry_Int_Tables_number 12
_cell_length_a 8.690
_cell_length_b 3.879
_cell_length_c 8.697
_cell_angle_alpha 90.00
_cell_angle_beta 90.01
_cell_angle_gamma 90.00
loop_
_symmetry_equiv_pos_as_xyz
'x,y,z'
'-x,-y,-z'
'-x,y,-z'
'x,-y,z'
'x+1/2,y+1/2,z'
'-x+1/2,-y+1/2,-z'
'-x+1/2,y+1/2,-z'
'x+1/2,-y+1/2,z'
loop_
_atom_site_label
_atom_site_fract_x
_atom_site_fract_y
_atom_site_fract_z
_atom_site_occupancy
Re1 0.147 0.000 0.446 1
Re2 0.150 0.500 0.948 1
Tc1 0.249 0.500 0.249 1
Os1 0.048 0.500 0.649 1
Os2 0.051 0.000 0.151 1

***

# 5
# RbCa2Bi2 PBE-GGA optimized geometry
# Formation energy from the elements in meV per atom: -425
# Size of the total moment in μB/cell: 0.0
# Density of states at the Fermi level in states/eV/cell: 6.5
# Calculated total energy in eV per cell: -29.71
# Relative energy among the computed polymorphs in meV/atom: 245
data_RbCa2Bi2
_symmetry_space_group_name_H-M 'I 4/m m m'
_symmetry_Int_Tables_number 139
_symmetry_space_group_name_Hall '-I 4 2'
_cell_length_a 6.112
_cell_length_b 6.112
_cell_length_c 12.402
_cell_angle_alpha 90.00
_cell_angle_beta 90.00
_cell_angle_gamma 90.00
loop_
_atom_site_label
_atom_site_fract_x
_atom_site_fract_y
_atom_site_fract_z
_atom_site_occupancy
Rb1 0.000 0.000 0.000 1
Ca1 0.000 0.000 0.313 1
Bi1 0.000 0.500 0.250 1

***

# 6
# Cu2SeI PBE-GGA optimized geometry
# ΔE_f (raw) in eV per atom: -0.138
# Size of the total moment in μB/cell: 0.0
# Density of states at the Fermi level in states/eV/cell: 13.0
# Calculated total energy in eV per cell: -55.12
# Relative energy among the computed polymorphs in meV/atom: 0
data_Cu2SeI
_symmetry_space_group_name_H-M 'I -4 2 d'
_symmetry_Int_Tables_number 122
_symmetry_space_group_name_Hall 'I -4 2bw'
_cell_length_a 5.800
_cell_length_b 5.800
_cell_length_c 11.516
_cell_angle_alpha 90.00
_cell_angle_beta 90.00
_cell_angle_gamma 90.00
loop_
_atom_site_label
_atom_site_fract_x
_atom_site_fract_y
_atom_site_fract_z
_atom_site_occupancy
Cu1 0.205 0.250 0.125 1
Se1 0.000 0.000 0.000 1
I1 0.000 0.000 0.500 1

***

# 7
# AuI2Cl2 PBE-GGA optimized geometry
# ΔE_f (raw) in eV per atom: 0.274
# Size of the total moment in μB/cell: 0.0
# Density of states at the Fermi level in states/eV/cell: 10.5
# Calculated total energy in eV per cell: -17.40
# Relative energy among the computed polymorphs in meV/atom: 375
data_AuI2Cl2
_symmetry_space_group_name_H-M 'P 4/m b m'
_symmetry_Int_Tables_number 127
_symmetry_space_group_name_Hall '-P 4 2ab'
_cell_length_a 7.483
_cell_length_b 7.483
_cell_length_c 5.036
_cell_angle_alpha 90.00
_cell_angle_beta 90.00
_cell_angle_gamma 90.00
loop_
_atom_site_label
_atom_site_fract_x
_atom_site_fract_y
_atom_site_fract_z
_atom_site_occupancy
Au1 0.000 0.000 0.000 1
I1 0.164 0.336 0.000 1
Cl1 0.159 0.659 0.500 1

***

# 8
# AcMg3Sn3 PBE-GGA optimized geometry
# Formation energy from the elements in meV per atom: -288
# Size of the total moment in μB/cell: 0.0
# Density of states at the Fermi level in states/eV/cell: 7.4
# Calculated total energy in eV per cell: -45.83
# Relative energy among the computed polymorphs in meV/atom: 0
data_AcMg3Sn3
_symmetry_space_group_name_H-M 'P 1 21/m 1'
_symmetry_Int_Tables_number 11
_cell_length_a 9.082
_cell_length_b 5.010
_cell_length_c 9.289
_cell_angle_alpha 90.00
_cell_angle_beta 114.31
_cell_angle_gamma 90.00
loop_
_symmetry_equiv_pos_as_xyz
'x,y,z'
'-x,-y,-z'
'-x,y+1/2,-z'
'x,-y+1/2,z'
loop_
_atom_site_label
_atom_site_fract_x
_atom_site_fract_y
_atom_site_fract_z
_atom_site_occupancy
Ac1 0.125 0.250 0.343 1
Mg1 0.292 0.750 0.980 1
Mg2 0.329 0.250 0.790 1
Mg3 0.432 0.250 0.178 1
Sn1 0.082 0.250 0.946 1
Sn2 0.225 0.750 0.615 1
Sn3 0.431 0.750 0.391 1